Entry 1:
The following is a PBE calculation of a relaxed SrGdAgIr crystal, from Alexandria.

The space group is F-43m (No. 216) and the conventional cell measures 7.2404, 7.2404 and 7.2404 Å, with angles of 90.00, 90.00 and 90.00 degrees. The asymmetric unit holds Sr at (0.0000, 0.0000, 0.0000), Gd at (0.0000, 0.0000, 0.5000), Ag at (0.2500, 0.2500, 0.2500) and Ir at (0.2500, 0.2500, 0.7500).

For the total magnetization, the calculation gives 7.04 μB per formula unit. The formation energy is -28.7 kJ per mole of atoms.

Entry 2:
The following is a PBE calculation of a relaxed TbGdAgIr crystal, from Alexandria.

The space group is F-43m (No. 216) and the conventional cell measures 7.0822, 7.0822 and 7.0822 Å, with angles of 90.00, 90.00 and 90.00 degrees. The asymmetric unit holds Tb at (0.0000, 0.0000, 0.0000), Gd at (0.0000, 0.0000, 0.5000), Ag at (0.2500, 0.2500, 0.7500) and Ir at (0.2500, 0.2500, 0.2500).

For the total magnetization, the calculation gives 7.14 μB per formula unit. The formation energy is -54.0 kJ per mole of atoms.

Entry 3:
The following is a PBE calculation of a relaxed GdThAgIr crystal, from Alexandria.

The space group is F-43m (No. 216) and the conventional cell measures 7.2166, 7.2166 and 7.2166 Å, with angles of 90.00, 90.00 and 90.00 degrees. The asymmetric unit holds Gd at (0.0000, 0.0000, 0.0000), Th at (0.0000, 0.0000, 0.5000), Ag at (0.2500, 0.2500, 0.7500) and Ir at (0.2500, 0.2500, 0.2500).

For the total magnetization, the calculation gives 7.13 μB per formula unit. The formation energy is -45.6 kJ per mole of atoms.

Entry 4:
The following is a PBE calculation of a relaxed GdTmAgIr crystal, from Alexandria.

The space group is F-43m (No. 216) and the conventional cell measures 7.0229, 7.0229 and 7.0229 Å, with angles of 90.00, 90.00 and 90.00 degrees. The asymmetric unit holds Gd at (0.0000, 0.0000, 0.0000), Tm at (0.0000, 0.0000, 0.5000), Ag at (0.2500, 0.2500, 0.7500) and Ir at (0.2500, 0.2500, 0.2500).

For the total magnetization, the calculation gives 7.16 μB per formula unit. The formation energy is -57.2 kJ per mole of atoms.

Entry 5:
The following is a PBE calculation of a relaxed GdZnAgIr crystal, from Alexandria.

The space group is F-43m (No. 216) and the conventional cell measures 6.7091, 6.7091 and 6.7091 Å, with angles of 90.00, 90.00 and 90.00 degrees. The asymmetric unit holds Gd at (0.0000, 0.0000, 0.0000), Zn at (0.0000, 0.0000, 0.5000), Ag at (0.2500, 0.2500, 0.2500) and Ir at (0.2500, 0.2500, 0.7500).

For the total magnetization, the calculation gives 7.05 μB per formula unit. The formation energy is -27.0 kJ per mole of atoms.

Entry 6:
The following is a PBE calculation of a relaxed KGdAg4 crystal, from Alexandria.

The space group is F-43m (No. 216) and the conventional cell measures 8.2537, 8.2537 and 8.2537 Å, with angles of 90.00, 90.00 and 90.00 degrees. The asymmetric unit holds K at (0.0000, 0.0000, 0.0000), Gd at (0.2500, 0.2500, 0.2500) and Ag at (0.1248, 0.1248, 0.6248).

For the total magnetization, the calculation gives 8.26 μB per formula unit. The formation energy is 2.4 kJ per mole of atoms.

Entry 7:
The following is a PBE calculation of a relaxed LaGd2Ag crystal, from Alexandria.

The space group is Fm-3m (No. 225) and the conventional cell measures 7.6608, 7.6608 and 7.6608 Å, with angles of 90.00, 90.00 and 90.00 degrees. The asymmetric unit holds La at (0.0000, 0.0000, 0.0000), Gd at (0.2500, 0.2500, 0.2500) and Ag at (0.0000, 0.0000, 0.5000).

The energy above the most stable polymorph in this dataset comes out at 0.1590 eV/atom. For the total magnetization, the calculation gives 16.63 μB per formula unit. The formation energy is 2.6 kJ per mole of atoms.

Entry 8:
The following is a PBE calculation of a relaxed LaGd2Ag crystal, from Alexandria.

The space group is P4/mmm (No. 123) and the conventional cell measures 3.6838, 3.6838 and 8.7890 Å, with angles of 90.00, 90.00 and 90.00 degrees. The asymmetric unit holds La at (0.0000, 0.0000, 0.0000), Gd at (0.5000, 0.5000, 0.2931) and Ag at (0.0000, 0.0000, 0.5000).

The energy above the most stable polymorph in this dataset comes out at 0.0000 eV/atom. For the total magnetization, the calculation gives 15.14 μB per formula unit. The formation energy is -12.7 kJ per mole of atoms.

Entry 9:
The following is a PBE calculation of a relaxed LaGdAg4 crystal, from Alexandria.

The space group is F-43m (No. 216) and the conventional cell measures 8.1975, 8.1975 and 8.1975 Å, with angles of 90.00, 90.00 and 90.00 degrees. The asymmetric unit holds La at (0.0000, 0.0000, 0.0000), Gd at (0.2500, 0.2500, 0.2500) and Ag at (0.1246, 0.1246, 0.6246).

For the total magnetization, the calculation gives 7.33 μB per formula unit. The formation energy is -16.1 kJ per mole of atoms.

Entry 10:
The following is a PBE calculation of a relaxed LaGd2Ag crystal, from Alexandria.

The space group is P4/mmm (No. 123) and the conventional cell measures 5.5556, 5.5556 and 3.7118 Å, with angles of 90.00, 90.00 and 90.00 degrees. The asymmetric unit holds La at (0.0000, 0.0000, 0.0000), Gd at (0.0000, 0.5000, 0.5000) and Ag at (0.5000, 0.5000, 0.0000).

The energy above the most stable polymorph in this dataset comes out at 0.1304 eV/atom. For the total magnetization, the calculation gives 15.43 μB per formula unit. The formation energy is -0.2 kJ per mole of atoms.

Entry 11:
The following is a PBE calculation of a relaxed LiLaGdAg crystal, from Alexandria.

The space group is F-43m (No. 216) and the conventional cell measures 7.5313, 7.5313 and 7.5313 Å, with angles of 90.00, 90.00 and 90.00 degrees. The asymmetric unit holds Li at (0.0000, 0.0000, 0.0000), La at (0.2500, 0.2500, 0.2500), Gd at (0.2500, 0.2500, 0.7500) and Ag at (0.0000, 0.0000, 0.5000).

For the total magnetization, the calculation gives 7.87 μB per formula unit. The formation energy is -7.3 kJ per mole of atoms.

Entry 12:
The following is a PBE calculation of a relaxed LaGdLuAg crystal, from Alexandria.

The space group is F-43m (No. 216) and the conventional cell measures 7.7249, 7.7249 and 7.7249 Å, with angles of 90.00, 90.00 and 90.00 degrees. The asymmetric unit holds La at (0.0000, 0.0000, 0.0000), Gd at (0.0000, 0.0000, 0.5000), Lu at (0.2500, 0.2500, 0.7500) and Ag at (0.2500, 0.2500, 0.2500).

For the total magnetization, the calculation gives 7.49 μB per formula unit. The formation energy is 3.5 kJ per mole of atoms.

Entry 13:
The following is a PBE calculation of a relaxed LaNdGdAg crystal, from Alexandria.

The space group is F-43m (No. 216) and the conventional cell measures 7.8227, 7.8227 and 7.8227 Å, with angles of 90.00, 90.00 and 90.00 degrees. The asymmetric unit holds La at (0.0000, 0.0000, 0.0000), Nd at (0.0000, 0.0000, 0.5000), Gd at (0.2500, 0.2500, 0.7500) and Ag at (0.2500, 0.2500, 0.2500).

For the total magnetization, the calculation gives 7.82 μB per formula unit. The formation energy is 5.5 kJ per mole of atoms.

Entry 14:
The following is a PBE calculation of a relaxed LaGdAgOs crystal, from Alexandria.

The space group is F-43m (No. 216) and the conventional cell measures 7.2045, 7.2045 and 7.2045 Å, with angles of 90.00, 90.00 and 90.00 degrees. The asymmetric unit holds La at (0.0000, 0.0000, 0.0000), Gd at (0.0000, 0.0000, 0.5000), Ag at (0.2500, 0.2500, 0.7500) and Os at (0.2500, 0.2500, 0.2500).

For the total magnetization, the calculation gives 7.06 μB per formula unit. The formation energy is -13.6 kJ per mole of atoms.

Entry 15:
The following is a PBE calculation of a relaxed LaGdAgPb crystal, from Alexandria.

The space group is F-43m (No. 216) and the conventional cell measures 7.7093, 7.7093 and 7.7093 Å, with angles of 90.00, 90.00 and 90.00 degrees. The asymmetric unit holds La at (0.0000, 0.0000, 0.0000), Gd at (0.0000, 0.0000, 0.5000), Ag at (0.2500, 0.2500, 0.7500) and Pb at (0.2500, 0.2500, 0.2500).

For the total magnetization, the calculation gives 7.94 μB per formula unit. The formation energy is -42.6 kJ per mole of atoms.